The following is a PBE calculation of Er2SnGe2Rh5 after structural relaxation, from Alexandria.

Its crystal system is tetragonal. The energy of formation is -0.83 eV/atom. Its total magnetic moment is 0.00 μB/f.u.

The space group is P4/mbm (No. 127) and the conventional cell measures 9.7307, 9.7307 and 3.6574 Å, with angles of 90.00, 90.00 and 90.00 degrees. The asymmetric unit holds Er at (0.1747, 0.3253, 0.0000), Sn at (0.0000, 0.0000, 0.0000), Ge at (0.1230, 0.6230, 0.0000), Rh at (0.0000, 0.5000, 0.5000) and Rh at (0.0695, 0.7890, 0.5000).

***

The following is a PBE calculation of Nd6TlAu2 after structural relaxation, from Alexandria.

Its crystal system is orthorhombic. The energy of formation is -0.42 eV/atom. Its total magnetic moment is 0.00 μB/f.u.

The space group is Immm (No. 71) and the conventional cell measures 9.8714, 10.3148 and 10.9255 Å, with angles of 90.00, 90.00 and 90.00 degrees. The asymmetric unit holds Nd at (0.0000, 0.1983, 0.2405), Nd at (0.2039, 0.5000, 0.1735), Nd at (0.2177, 0.3182, 0.5000), Tl at (0.0000, 0.0000, 0.0000), Tl at (0.0000, 0.0000, 0.5000), Au at (0.0000, 0.3474, 0.0000) and Au at (0.0000, 0.5000, 0.3695).

***

The following is a PBE calculation of KV2B after structural relaxation, from Alexandria.

Its crystal system is tetragonal. The energy of formation is 1.06 eV/atom. Its total magnetic moment is 5.20 μB/f.u.

The space group is I4_1/amd (No. 141, origin choice 2) and the conventional cell measures 6.5823, 6.5823 and 9.3399 Å, with angles of 90.00, 90.00 and 90.00 degrees. The asymmetric unit holds K at (0.0000, 0.2500, 0.3750), V at (0.0000, 0.0000, 0.0000) and B at (0.0000, 0.2500, 0.8750).

***

Copy entry 1 word for word.
The following is a PBE calculation of Er2SnGe2Rh5 after structural relaxation, from Alexandria.

Its crystal system is tetragonal. The energy of formation is -0.83 eV/atom. Its total magnetic moment is 0.00 μB/f.u.

The space group is P4/mbm (No. 127) and the conventional cell measures 9.7307, 9.7307 and 3.6574 Å, with angles of 90.00, 90.00 and 90.00 degrees. The asymmetric unit holds Er at (0.1747, 0.3253, 0.0000), Sn at (0.0000, 0.0000, 0.0000), Ge at (0.1230, 0.6230, 0.0000), Rh at (0.0000, 0.5000, 0.5000) and Rh at (0.0695, 0.7890, 0.5000).